Material: Rb5In4Au4
Method: DFT, PBE-GGA
State: optimized geometry

```
Rb5In4Au4
1.0
-0.475 -1.177 4.914
-1.602 -9.678 0.148
9.098 -2.126 2.991
Rb In Au
5 4 4
Direct
0.000 0.000 0.000
0.645 0.651 0.060
0.704 0.940 0.651
0.296 0.060 0.349
0.355 0.349 0.940
0.890 0.554 0.667
0.110 0.446 0.333
0.443 0.667 0.446
0.557 0.333 0.554
0.712 0.326 0.250
0.962 0.750 0.326
0.288 0.674 0.750
0.038 0.250 0.674
```

Properties
* energy relative to the elements: -210 meV per atom
* E_tot: -2.4337 eV/atom
* M_tot: 0.0 μB per formula unit
* SG: I4/m (87)

***

Material: Rb2InAu2
Method: DFT, PBE-GGA
State: optimized geometry

```
Rb2InAu2
1.0
7.753 0.000 0.000
0.000 7.753 0.000
0.000 0.000 5.426
Rb Au In
4 4 2
Direct
0.830 0.330 0.500
0.330 0.170 0.500
0.670 0.830 0.500
0.170 0.670 0.500
0.866 0.634 0.000
0.634 0.134 0.000
0.366 0.866 0.000
0.134 0.366 0.000
0.500 0.500 0.000
0.000 0.000 0.000
```

Properties
* energy relative to the elements: -204 meV per atom
* E_tot: -2.4500 eV/atom
* ΔE to the lowest computed polymorph: 68 meV/atom
* M_tot: 0.0 μB per formula unit
* SG: P4/mbm (127)